[1]
This record from Alexandria describes a relaxed SrYIn6 crystal. The functional is PBE-GGA.

Calculated values
E in eV per atom: -3.44
Spin magnetization in μB per formula unit: 0.000

Cell lengths 4.7440, 4.7440, 9.5247 Å; angles 90.00, 90.00, 90.00 degrees
With the nearest neighbours (Å) after each atom.
Space group P4/mmm (No. 123)
Unique sites:
Sr 0.0000 0.0000 0.0000  12 In 3.35-3.42
Y 0.0000 0.0000 0.5000  12 In 3.31-3.35
In 0.0000 0.5000 0.2582  8 In 3.31-3.42, 2 Y 3.31, 2 Sr 3.42
In 0.5000 0.5000 0.0000  4 Sr 3.35, 8 In 3.42
In 0.5000 0.5000 0.5000  8 In 3.31, 4 Y 3.35

***

[2]
This record from Alexandria describes a relaxed TcBAs3 crystal. The functional is PBE-GGA.

Calculated values
E in eV per atom: -4.90
Spin magnetization in μB per formula unit: 0.000
Relative energy among the computed polymorphs in meV per atom: 292

Cell lengths 4.7961, 4.7961, 4.7961 Å; angles 90.00, 90.00, 90.00 degrees
With the nearest neighbours (Å) after each atom.
Space group Pm-3m (No. 221)
Unique sites:
Tc 0.0000 0.0000 0.0000  6 As 2.40
B 0.5000 0.5000 0.5000  12 As 3.39
As 0.0000 0.0000 0.5000  2 Tc 2.40

***

[3]
This record from Alexandria describes a relaxed BaPtNF2 crystal. The functional is PBE-GGA.

Calculated values
E in eV per atom: -4.11
Spin magnetization in μB per formula unit: 3.133
Energy relative to the elements, uncorrected in eV/f.u.: -0.50
Relative energy among the computed polymorphs in meV per atom: 1238

Cell lengths 4.8850, 4.8850, 5.7741 Å; angles 90.00, 90.00, 90.00 degrees
With the nearest neighbours (Å) after each atom.
Space group P4/mmm (No. 123)
Unique sites:
Ba 0.0000 0.0000 0.0000  4 F 2.44
Pt 0.5000 0.5000 0.5000  4 N 3.45, 8 F 3.78
N 0.0000 0.0000 0.5000  2 Ba 2.89
F 0.0000 0.5000 0.0000  2 Ba 2.44